Entry 1:
VASP calculation (PBEsol) on a geometry-optimized LiPd2O structure. Values from VASP.

Geometry as Quantum ESPRESSO input:
```
&SYSTEM
  ibrav = 0, nat = 16, ntyp = 3
/
ATOMIC_SPECIES
Li 6.94 Li.upf
Pd 106.42 Pd.upf
O 16.00 O.upf
CELL_PARAMETERS angstrom
5.120 0.000 0.000
0.000 5.120 0.000
0.000 0.000 11.795
ATOMIC_POSITIONS crystal
Li 0.000 0.250 0.375
Li 0.000 0.750 0.625
Li 0.500 0.250 0.125
Li 0.500 0.750 0.875
Pd 0.000 0.000 0.000
Pd 0.000 0.500 0.000
Pd 0.250 0.250 0.750
Pd 0.250 0.750 0.250
Pd 0.500 0.000 0.500
Pd 0.500 0.500 0.500
Pd 0.750 0.250 0.750
Pd 0.750 0.750 0.250
O 0.000 0.250 0.875
O 0.000 0.750 0.125
O 0.500 0.250 0.625
O 0.500 0.750 0.375
```

Summary:
The value obtained for the spin magnetization is 0.0000 μB per atom. The symmetry is No. 141. The uncorrected formation energy comes out at -79 kJ/mol of formula units. The density of states at the Fermi level comes out at 0.78 states/eV/f.u.

---

Entry 2:
VASP calculation (PBEsol) on a geometry-optimized Li3PdO structure. Values from VASP.

Geometry as Quantum ESPRESSO input:
```
&SYSTEM
  ibrav = 0, nat = 5, ntyp = 3
/
ATOMIC_SPECIES
Li 6.94 Li.upf
Pd 106.42 Pd.upf
O 16.00 O.upf
CELL_PARAMETERS angstrom
3.834 0.000 0.000
0.000 3.834 0.000
0.000 0.000 3.834
ATOMIC_POSITIONS crystal
Li 0.000 0.000 0.500
Li 0.000 0.500 0.000
Li 0.500 0.000 0.000
Pd 0.500 0.500 0.500
O 0.000 0.000 0.000
```

Summary:
The value obtained for the spin magnetization is 0.0000 μB per atom. The symmetry is No. 221. The uncorrected formation energy comes out at -432 kJ/mol of formula units. The density of states at the Fermi level comes out at 1.85 states/eV/f.u.

---

Entry 3:
VASP calculation (PBEsol) on a geometry-optimized Rb2Li14Pr3O14 structure. Values from VASP.

Geometry as Quantum ESPRESSO input:
```
&SYSTEM
  ibrav = 0, nat = 33, ntyp = 4
/
ATOMIC_SPECIES
Rb 85.47 Rb.upf
Li 6.94 Li.upf
Pr 140.91 Pr.upf
O 16.00 O.upf
CELL_PARAMETERS angstrom
-3.687 4.124 6.745
3.687 -4.124 6.745
3.687 4.124 -6.745
ATOMIC_POSITIONS crystal
Rb 0.000 0.239 0.239
Rb 0.000 0.761 0.761
Li 0.086 0.231 0.854
Li 0.212 0.145 0.623
Li 0.212 0.590 0.067
Li 0.341 0.500 0.841
Li 0.377 0.231 0.146
Li 0.478 0.410 0.623
Li 0.478 0.855 0.067
Li 0.522 0.145 0.933
Li 0.522 0.590 0.377
Li 0.623 0.769 0.854
Li 0.659 0.500 0.159
Li 0.788 0.410 0.933
Li 0.788 0.855 0.377
Li 0.914 0.769 0.146
Pr 0.228 0.728 0.500
Pr 0.500 0.000 0.500
Pr 0.772 0.272 0.500
O 0.099 0.376 0.723
O 0.176 0.867 0.309
O 0.260 0.065 0.806
O 0.260 0.454 0.194
O 0.346 0.624 0.723
O 0.442 0.133 0.309
O 0.500 0.307 0.807
O 0.500 0.693 0.193
O 0.558 0.867 0.691
O 0.654 0.376 0.277
O 0.740 0.546 0.806
O 0.740 0.935 0.194
O 0.824 0.133 0.691
O 0.901 0.624 0.277
```

Summary:
The value obtained for the spin magnetization is 0.0968 μB per atom. The symmetry is No. 71. The uncorrected formation energy comes out at -6275 kJ/mol of formula units. The density of states at the Fermi level comes out at 14.72 states/eV/f.u.

---

Entry 4:
VASP calculation (PBEsol) on a geometry-optimized LiPr2RuO6 structure. Values from VASP.

Geometry as Quantum ESPRESSO input:
```
&SYSTEM
  ibrav = 0, nat = 20, ntyp = 4
/
ATOMIC_SPECIES
Li 6.94 Li.upf
Pr 140.91 Pr.upf
Ru 101.07 Ru.upf
O 16.00 O.upf
CELL_PARAMETERS angstrom
5.409 0.000 0.000
0.000 5.716 0.000
-5.358 0.000 7.695
ATOMIC_POSITIONS crystal
Li 0.000 0.000 0.000
Li 0.000 0.500 0.500
Pr 0.234 0.066 0.749
Pr 0.234 0.434 0.249
Pr 0.766 0.566 0.751
Pr 0.766 0.934 0.251
Ru 0.500 0.000 0.500
Ru 0.500 0.500 0.000
O 0.164 0.190 0.456
O 0.164 0.310 0.956
O 0.265 0.714 0.452
O 0.265 0.786 0.952
O 0.343 0.024 0.255
O 0.343 0.476 0.755
O 0.657 0.524 0.245
O 0.657 0.976 0.745
O 0.735 0.214 0.048
O 0.735 0.286 0.548
O 0.836 0.690 0.044
O 0.836 0.810 0.544
```

Summary:
The value obtained for the spin magnetization is 0.3011 μB per atom. The symmetry is No. 14. The uncorrected formation energy comes out at -2339 kJ/mol of formula units. The density of states at the Fermi level comes out at 0.18 states/eV/f.u.

---

Entry 5:
VASP calculation (PBEsol) on a geometry-optimized LiPrS2O8 structure. Values from VASP.

Geometry as Quantum ESPRESSO input:
```
&SYSTEM
  ibrav = 0, nat = 48, ntyp = 4
/
ATOMIC_SPECIES
Li 6.94 Li.upf
Pr 140.91 Pr.upf
S 32.06 S.upf
O 16.00 O.upf
CELL_PARAMETERS angstrom
13.696 0.000 0.000
0.000 6.666 0.000
-1.798 0.000 6.790
ATOMIC_POSITIONS crystal
Li 0.055 0.244 0.009
Li 0.055 0.256 0.509
Li 0.945 0.744 0.491
Li 0.945 0.756 0.991
Pr 0.315 0.614 0.159
Pr 0.315 0.886 0.659
Pr 0.685 0.114 0.341
Pr 0.685 0.386 0.841
S 0.116 0.600 0.802
S 0.116 0.900 0.302
S 0.395 0.072 0.199
S 0.395 0.428 0.699
S 0.605 0.572 0.301
S 0.605 0.928 0.801
S 0.884 0.100 0.698
S 0.884 0.400 0.198
O 0.015 0.690 0.780
O 0.015 0.810 0.280
O 0.120 0.008 0.123
O 0.120 0.492 0.623
O 0.144 0.031 0.482
O 0.144 0.469 0.982
O 0.196 0.739 0.344
O 0.196 0.761 0.844
O 0.337 0.241 0.673
O 0.337 0.259 0.173
O 0.364 0.556 0.518
O 0.364 0.944 0.018
O 0.368 0.556 0.854
O 0.368 0.944 0.354
O 0.497 0.612 0.253
O 0.497 0.888 0.753
O 0.503 0.112 0.247
O 0.503 0.388 0.747
O 0.632 0.056 0.646
O 0.632 0.444 0.146
O 0.636 0.056 0.982
O 0.636 0.444 0.482
O 0.663 0.741 0.827
O 0.663 0.759 0.327
O 0.804 0.239 0.156
O 0.804 0.261 0.656
O 0.856 0.531 0.018
O 0.856 0.969 0.518
O 0.880 0.508 0.377
O 0.880 0.992 0.877
O 0.985 0.190 0.720
O 0.985 0.310 0.220
```

Summary:
The value obtained for the spin magnetization is 0.0000 μB per atom. The symmetry is No. 14. The uncorrected formation energy comes out at -2444 kJ/mol of formula units. The density of states at the Fermi level comes out at 0.00 states/eV/f.u.

---

Entry 6:
VASP calculation (PBEsol) on a geometry-optimized Li2PtO6 structure. Values from VASP.

Geometry as Quantum ESPRESSO input:
```
&SYSTEM
  ibrav = 0, nat = 9, ntyp = 3
/
ATOMIC_SPECIES
Li 6.94 Li.upf
Pt 195.08 Pt.upf
O 16.00 O.upf
CELL_PARAMETERS angstrom
5.266 0.000 0.000
-2.633 4.560 0.000
0.000 0.000 3.786
ATOMIC_POSITIONS crystal
Li 0.333 0.667 0.000
Li 0.667 0.333 0.000
Pt 0.000 0.000 0.000
O 0.000 0.299 0.719
O 0.000 0.701 0.281
O 0.299 0.000 0.719
O 0.299 0.299 0.281
O 0.701 0.000 0.281
O 0.701 0.701 0.719
```

Summary:
The value obtained for the spin magnetization is 0.3275 μB per atom. The symmetry is No. 162. The uncorrected formation energy comes out at -278 kJ/mol of formula units. The density of states at the Fermi level comes out at 4.59 states/eV/f.u.

---

Entry 7:
VASP calculation (PBEsol) on a geometry-optimized Li2PtO2 structure. Values from VASP.

Geometry as Quantum ESPRESSO input:
```
&SYSTEM
  ibrav = 0, nat = 10, ntyp = 3
/
ATOMIC_SPECIES
Li 6.94 Li.upf
Pt 195.08 Pt.upf
O 16.00 O.upf
CELL_PARAMETERS angstrom
3.071 0.000 0.000
0.000 3.810 0.000
0.000 0.000 8.868
ATOMIC_POSITIONS crystal
Li 0.000 0.000 0.189
Li 0.000 0.000 0.811
Li 0.500 0.500 0.311
Li 0.500 0.500 0.689
Pt 0.000 0.000 0.500
Pt 0.500 0.500 0.000
O 0.000 0.500 0.151
O 0.000 0.500 0.849
O 0.500 0.000 0.349
O 0.500 0.000 0.651
```

Summary:
The value obtained for the spin magnetization is 0.0000 μB per atom. The symmetry is No. 71. The uncorrected formation energy comes out at -643 kJ/mol of formula units. The density of states at the Fermi level comes out at 0.00 states/eV/f.u.

---

Entry 8:
VASP calculation (PBEsol) on a geometry-optimized Sr2LiPtO structure. Values from VASP.

Geometry as Quantum ESPRESSO input:
```
&SYSTEM
  ibrav = 0, nat = 5, ntyp = 4
/
ATOMIC_SPECIES
Sr 87.62 Sr.upf
Li 6.94 Li.upf
Pt 195.08 Pt.upf
O 16.00 O.upf
CELL_PARAMETERS angstrom
6.008 0.000 0.000
0.000 6.008 0.000
0.000 0.000 3.910
ATOMIC_POSITIONS crystal
Sr 0.000 0.500 0.000
Sr 0.500 0.000 0.000
Li 0.000 0.000 0.500
Pt 0.500 0.500 0.000
O 0.500 0.500 0.500
```

Summary:
The value obtained for the spin magnetization is 0.0403 μB per atom. The symmetry is No. 123. The uncorrected formation energy comes out at -160 kJ/mol of formula units. The density of states at the Fermi level comes out at 4.06 states/eV/f.u.

---

Entry 9:
VASP calculation (PBEsol) on a geometry-optimized LiZr2PtO structure. Values from VASP.

Geometry as Quantum ESPRESSO input:
```
&SYSTEM
  ibrav = 0, nat = 5, ntyp = 4
/
ATOMIC_SPECIES
Li 6.94 Li.upf
Zr 91.22 Zr.upf
Pt 195.08 Pt.upf
O 16.00 O.upf
CELL_PARAMETERS angstrom
4.415 0.000 0.000
0.000 4.415 0.000
0.000 0.000 3.718
ATOMIC_POSITIONS crystal
Li 0.000 0.000 0.000
Zr 0.000 0.500 0.500
Zr 0.500 0.000 0.500
Pt 0.500 0.500 0.000
O 0.000 0.000 0.500
```

Summary:
The value obtained for the spin magnetization is 0.0000 μB per atom. The symmetry is No. 123. The uncorrected formation energy comes out at -756 kJ/mol of formula units. The density of states at the Fermi level comes out at 2.59 states/eV/f.u.

---

Entry 10:
VASP calculation (PBEsol) on a geometry-optimized RbLi3O structure. Values from VASP.

Geometry as Quantum ESPRESSO input:
```
&SYSTEM
  ibrav = 0, nat = 5, ntyp = 3
/
ATOMIC_SPECIES
Rb 85.47 Rb.upf
Li 6.94 Li.upf
O 16.00 O.upf
CELL_PARAMETERS angstrom
4.502 0.000 0.000
0.000 4.502 0.000
0.000 0.000 4.502
ATOMIC_POSITIONS crystal
Rb 0.000 0.000 0.000
Li 0.000 0.500 0.500
Li 0.500 0.000 0.500
Li 0.500 0.500 0.000
O 0.500 0.500 0.500
```

Summary:
The value obtained for the spin magnetization is 0.0000 μB per atom. The symmetry is No. 221. The uncorrected formation energy comes out at -237 kJ/mol of formula units. The density of states at the Fermi level comes out at 0.68 states/eV/f.u.

---

Entry 11:
VASP calculation (PBEsol) on a geometry-optimized RbLi7Si2O8 structure. Values from VASP.

Geometry as Quantum ESPRESSO input:
```
&SYSTEM
  ibrav = 0, nat = 36, ntyp = 4
/
ATOMIC_SPECIES
Rb 85.47 Rb.upf
Li 6.94 Li.upf
Si 28.09 Si.upf
O 16.00 O.upf
CELL_PARAMETERS angstrom
7.770 -3.171 0.000
7.770 3.171 0.000
-0.065 0.000 7.723
ATOMIC_POSITIONS crystal
Rb 0.245 0.245 0.471
Rb 0.755 0.755 0.529
Li 0.000 0.000 0.000
Li 0.067 0.067 0.291
Li 0.072 0.560 0.860
Li 0.182 0.674 0.366
Li 0.326 0.818 0.634
Li 0.355 0.355 0.135
Li 0.440 0.928 0.140
Li 0.500 0.500 0.000
Li 0.560 0.072 0.860
Li 0.645 0.645 0.865
Li 0.674 0.182 0.366
Li 0.818 0.326 0.634
Li 0.928 0.440 0.140
Li 0.933 0.933 0.709
Si 0.147 0.147 0.860
Si 0.429 0.429 0.706
Si 0.571 0.571 0.294
Si 0.853 0.853 0.140
O 0.022 0.585 0.199
O 0.051 0.051 0.764
O 0.129 0.129 0.070
O 0.181 0.617 0.606
O 0.383 0.819 0.394
O 0.384 0.384 0.899
O 0.415 0.978 0.801
O 0.467 0.467 0.253
O 0.533 0.533 0.747
O 0.585 0.022 0.199
O 0.616 0.616 0.101
O 0.617 0.181 0.606
O 0.819 0.383 0.394
O 0.871 0.871 0.930
O 0.949 0.949 0.236
O 0.978 0.415 0.801
```

Summary:
The value obtained for the spin magnetization is 0.0000 μB per atom. The symmetry is No. 12. The uncorrected formation energy comes out at -4089 kJ/mol of formula units. The density of states at the Fermi level comes out at 0.00 states/eV/f.u.

---

Entry 12:
VASP calculation (PBEsol) on a geometry-optimized Rb2LiVO4 structure. Values from VASP.

Geometry as Quantum ESPRESSO input:
```
&SYSTEM
  ibrav = 0, nat = 16, ntyp = 4
/
ATOMIC_SPECIES
Rb 85.47 Rb.upf
Li 6.94 Li.upf
V 50.94 V.upf
O 16.00 O.upf
CELL_PARAMETERS angstrom
2.910 -5.821 0.000
2.910 5.821 0.000
0.000 0.000 7.835
ATOMIC_POSITIONS crystal
Rb 0.061 0.939 0.500
Rb 0.396 0.604 0.641
Rb 0.604 0.396 0.141
Rb 0.939 0.061 0.000
Li 0.201 0.799 0.921
Li 0.799 0.201 0.421
V 0.311 0.689 0.202
V 0.689 0.311 0.702
O 0.117 0.403 0.309
O 0.164 0.836 0.170
O 0.366 0.634 0.999
O 0.403 0.117 0.809
O 0.597 0.883 0.309
O 0.634 0.366 0.499
O 0.836 0.164 0.670
O 0.883 0.597 0.809
```

Summary:
The value obtained for the spin magnetization is 0.0001 μB per atom. The symmetry is No. 36. The uncorrected formation energy comes out at -1736 kJ/mol of formula units. The density of states at the Fermi level comes out at 0.00 states/eV/f.u.